Entry from Alexandria via LeMat-Bulk: a geometry-optimized Ta3OsW structure (GGA-PBE).

Structure (POSCAR):
```
Ta3OsW
1.0
2.2751 -8.1437 0.0000
2.2751 8.1437 0.0000
0.0000 0.0000 4.5539
Ta Os W
6 2 2
Direct
0.0544 0.9456 0.7500
0.2502 0.7498 0.7500
0.4464 0.5536 0.7500
0.5536 0.4464 0.2500
0.7498 0.2502 0.2500
0.9456 0.0544 0.2500
0.1508 0.8492 0.2500
0.8492 0.1508 0.7500
0.3489 0.6511 0.2500
0.6511 0.3489 0.7500
```

Results
The formation energy is -27.9 kJ/mol of atoms. The calculation puts the magnetization at 0.00 μB per atom. As for the energy relative to the lowest polymorph listed for this composition: 0.000 eV per atom. The density of states at the Fermi level is 3.5 states/eV per cell.